Compound: AlCu
Source: the Alexandria database
Functional: GGA-PBE
Structure: optimized geometry

Cell: 5.0593 5.2617 2.7300 Å, 74.96 74.35 51.34°
Closest atoms and distances in Å follow each position.
Atoms (fractional coordinates):
Al 0.0206 0.9930 0.9932  7 Cu 2.58-2.66, 5 Al 2.72-2.81
Al 0.8961 0.5904 0.7568  7 Cu 2.58-2.66, 5 Al 2.72-2.81
Cu 0.4972 0.4922 0.5053  7 Al 2.58-2.66, 5 Cu 2.66-2.83
Cu 0.4194 0.0912 0.2447  7 Al 2.58-2.66, 5 Cu 2.66-2.83

Summary:
- Magnetization: 0.0 μB/cell
- Calculated volume: 13.561 A^3/atom
- E: -4.08 eV/atom
- Theoretical density: 5.5 g/cm3
- ΔH_f (0 K): -0.163 eV per atom
- Fermi-level density of states: 1.0 states/eV/cell